Entry 1:
Compound: SmGdZr2
Source: Alexandria
Functional: PBE-GGA
Structure: relaxed

Values from the calculation:
The volume comes out at 110.67 Å³ per cell. The symmetry is R-3m. For the offset from the most stable computed form, the calculation gives 16.9 kJ per mole of atoms. The formation energy is 0.329 eV/atom.

a b c (Å): 11.853 11.853 11.853
angles (deg): 16.03 16.03 16.03
Positions (direct):
Sm 0.000 0.000 0.000
Gd 0.500 0.500 0.500
Zr 0.411 0.411 0.411
Zr 0.589 0.589 0.589

Entry 2:
Compound: Nd8Ho4Mg
Source: Alexandria
Functional: PBE-GGA
Structure: relaxed

Values from the calculation:
The volume comes out at 448.60 Å³ per cell. The symmetry is R-3m. The formation energy is 0.165 eV/atom.

a b c (Å): 10.865 10.865 10.865
angles (deg): 38.60 38.60 38.60
Positions (direct):
Nd 0.221 0.221 0.221
Nd 0.230 0.745 0.745
Nd 0.255 0.255 0.770
Nd 0.255 0.770 0.255
Nd 0.745 0.230 0.745
Nd 0.745 0.745 0.230
Nd 0.770 0.255 0.255
Nd 0.779 0.779 0.779
Ho 0.000 0.000 0.000
Ho 0.000 0.500 0.500
Ho 0.500 0.000 0.500
Ho 0.500 0.500 0.000
Mg 0.500 0.500 0.500

Entry 3:
Compound: LaTb2Y2Ho2
Source: Alexandria
Functional: PBE-GGA
Structure: relaxed

Values from the calculation:
The volume comes out at 231.74 Å³ per cell. The symmetry is C2/m. The formation energy is 0.098 eV/atom.

a b c (Å): 6.122 6.122 11.829
angles (deg): 107.83 107.83 33.48
Positions (direct):
La 0.000 0.000 0.000
Tb 0.329 0.329 0.418
Tb 0.671 0.671 0.582
Y 0.448 0.448 0.725
Y 0.552 0.552 0.275
Ho 0.224 0.224 0.858
Ho 0.776 0.776 0.142

Entry 4:
Compound: SrPPd2Pt
Source: Alexandria
Functional: PBE-GGA
Structure: relaxed

Values from the calculation:
The volume comes out at 100.99 Å³ per cell. The symmetry is P4/mmm. The formation energy is -0.672 eV/atom.

a b c (Å): 4.672 4.672 4.628
angles (deg): 90.00 90.00 90.00
Positions (direct):
Sr 0.000 0.000 0.000
P 0.500 0.500 0.500
Pd 0.000 0.500 0.500
Pd 0.500 0.000 0.500
Pt 0.500 0.500 0.000